The following is a PBE calculation of Sm2AgTeO6 after structural relaxation, from the Alexandria database.

Lattice parameters (Å, degrees): 5.891 5.891 6.203 61.65 61.66 60.00
Fractional coordinates of all 10 atoms:
1 O 0.153 0.392 0.768
2 O 0.687 0.153 0.768
3 O 0.960 0.577 0.225
4 Te 0.322 0.322 0.033
5 O 0.392 0.687 0.768
6 O 0.577 0.237 0.225
7 Sm 0.530 0.530 0.411
8 O 0.237 0.960 0.225
9 Ag 0.784 0.784 0.647
10 Sm 0.018 0.018 0.946

The calculation puts the raw formation energy at -2.028 eV per atom.